This record from Alexandria describes SrLaAsSe2 after structural relaxation. The functional is PBEsol.

Lattice parameters (Å, degrees): 5.6299 5.6299 5.4539 90.00 90.00 90.00
Closest atoms and distances in Å follow each position.
Space group P4/mmm (No. 123)
Inequivalent atoms, fractional coordinates:
Sr: 0.0000 0.0000 0.0000  8 Se 3.92, 4 As 3.98
La: 0.5000 0.5000 0.5000  2 As 2.73, 4 Se 2.81
As: 0.5000 0.5000 0.0000  2 La 2.73
Se: 0.0000 0.5000 0.5000  2 La 2.81

Output
- formation energy from raw total energies (eV/atom) = -0.859

***

This record from Alexandria describes RbCa2CrP after structural relaxation. The functional is PBEsol.

Lattice parameters (Å, degrees): 5.8459 5.8459 5.2188 90.00 90.00 90.00
Closest atoms and distances in Å follow each position.
Space group P4/mmm (No. 123)
Inequivalent atoms, fractional coordinates:
Rb: 0.0000 0.0000 0.0000  2 P 2.61
Ca: 0.0000 0.5000 0.0000  2 Rb 2.92
Cr: 0.5000 0.5000 0.5000  8 Ca 3.92, 4 P 4.13
P: 0.0000 0.0000 0.5000  2 Rb 2.61

Output
- ΔH_f (0 K) (eV/atom) = 1.49

***

This record from Alexandria describes Cr2ReW after structural relaxation. The functional is PBEsol.

Lattice parameters (Å, degrees): 5.2369 8.2846 2.6229 90.00 109.98 90.00
Closest atoms and distances in Å follow each position.
Space group C2/m (No. 12)
Inequivalent atoms, fractional coordinates:
Cr: 0.2500 0.2500 0.0000  2 W 2.56, 2 Re 2.56, 4 Cr 2.62
Re: 0.0000 0.0000 0.5000  4 Cr 2.56, 2 W 2.62, 2 Re 2.62
W: 0.0000 0.5000 0.5000  4 Cr 2.56, 2 Re 2.62, 2 W 2.62

Output
- ΔH_f (0 K) (eV/atom) = 0.11

***

This record from Alexandria describes Mn2CrSi after structural relaxation. The functional is PBEsol.

Lattice parameters (Å, degrees): 2.8312 3.7968 7.8967 90.00 90.00 90.00
Closest atoms and distances in Å follow each position.
Space group Imm2 (No. 44)
Inequivalent atoms, fractional coordinates:
Mn: 0.0000 0.0000 0.0000  4 Cr 2.37, 2 Si 2.41, 2 Mn 2.45
Mn: 0.0000 0.5000 0.2472  4 Si 2.37, 2 Cr 2.41, 2 Mn 2.45
Cr: 0.0000 0.0000 0.5007  6 Mn 2.37-2.41, 2 Si 2.45
Si: 0.0000 0.5000 0.7475  6 Mn 2.37-2.41, 2 Cr 2.45

Output
- formation energy from raw total energies (eV/atom) = -0.323

***

This record from Alexandria describes Bi5IO7 after structural relaxation. The functional is PBEsol.

Lattice parameters (Å, degrees): 18.4113 4.1697 13.0168 90.00 104.02 90.00
Closest atoms and distances in Å follow each position.
Space group C2/m (No. 12)
Inequivalent atoms, fractional coordinates:
Bi: 0.0318 0.0000 0.3646  4 O 2.15-2.26
Bi: 0.1129 0.0000 0.1220  4 O 2.18-2.28
Bi: 0.1213 0.5000 0.5968  4 O 2.12-2.32
Bi: 0.2060 0.5000 0.3683  6 O 2.30-2.55
Bi: 0.2243 0.0000 0.8707  4 O 2.12-2.28
I: 0.0595 0.5000 0.8701  9 Bi 3.68-3.99, 4 O 3.80-3.98
O: 0.0737 0.5000 0.4148  3 Bi 2.26-2.32
O: 0.0805 0.0000 0.5322  3 Bi 2.15-2.30
O: 0.1314 0.0000 0.2944  2 Bi 2.19-2.24
O: 0.1611 0.5000 0.1618  3 Bi 2.25-2.28
O: 0.1912 0.0000 0.7026  2 Bi 2.12-2.30
O: 0.2250 0.0000 0.0943  3 Bi 2.18-2.28
O: 0.2273 0.5000 0.5599  1 Bi 2.12

Output
- formation energy from raw total energies (eV/atom) = -1.190

***

This record from Alexandria describes Rb3NiH after structural relaxation. The functional is PBEsol.

Lattice parameters (Å, degrees): 5.4537 5.4537 5.4537 90.00 90.00 90.00
Closest atoms and distances in Å follow each position.
Space group Pm-3m (No. 221)
Inequivalent atoms, fractional coordinates:
Rb: 0.0000 0.0000 0.5000  2 H 2.73
Ni: 0.5000 0.5000 0.5000  12 Rb 3.86
H: 0.0000 0.0000 0.0000  6 Rb 2.73

***

Values for raw total energy, eV/cell, ordered as above
-24.29 -13.86 -94.39 -73.60 -301.65 -10.22